{
  "formula": "LiLa4Cu",
  "functional": "PBE",
  "state": "optimized geometry",
  "formation_energy_ev_per_atom": 0.554,
  "lattice_angstrom": [[0.603, -1.914, 6.203], [-5.318, -1.240, 3.560], [-1.445, -6.133, 1.674]],
  "species": ["Li", "La", "La", "La", "La", "Cu"],
  "frac_coords": [[0.750, 0.750, 0.750], [0.373, 0.880, 0.373], [0.373, 0.373, 0.373], [0.373, 0.373, 0.880], [0.880, 0.373, 0.373], [0.000, 0.000, 0.000]]
}


{
  "formula": "Li3LaCu8",
  "functional": "PBE",
  "state": "optimized geometry",
  "formation_energy_ev_per_atom": -0.091,
  "relative_energy_mev_per_atom": 3,
  "lattice_angstrom": [[4.840, 0.000, 1.461], [2.199, 4.311, 1.461], [0.014, 0.009, 8.700]],
  "species": ["Li", "Li", "Li", "Cu", "Cu", "Cu", "Cu", "Cu", "Cu", "Cu", "Cu", "La"],
  "frac_coords": [[0.484, 0.484, 0.549], [0.373, 0.373, 0.881], [0.008, 0.008, 0.977], [0.442, 0.945, 0.171], [0.937, 0.431, 0.694], [0.187, 0.187, 0.440], [0.937, 0.937, 0.694], [0.431, 0.937, 0.694], [0.945, 0.442, 0.171], [0.689, 0.689, 0.932], [0.442, 0.442, 0.171], [0.875, 0.875, 0.374]]
}


{
  "formula": "Li2La2Cu",
  "functional": "PBE",
  "state": "optimized geometry",
  "formation_energy_ev_per_atom": 0.312,
  "relative_energy_mev_per_atom": 239,
  "lattice_angstrom": [[-0.868, -3.509, 6.535], [4.270, -5.616, -2.449], [4.418, 2.514, 1.937]],
  "species": ["Li", "Li", "Li", "Li", "La", "La", "La", "La", "Cu", "Cu"],
  "frac_coords": [[0.652, 0.848, 0.500], [0.848, 0.348, 0.500], [0.152, 0.652, 0.500], [0.348, 0.152, 0.500], [0.150, 0.350, 0.000], [0.350, 0.850, 0.000], [0.850, 0.650, 0.000], [0.650, 0.150, 0.000], [0.000, 0.000, 0.000], [0.500, 0.500, 0.000]]
}


{
  "formula": "LiLa2Cu",
  "functional": "PBE",
  "state": "optimized geometry",
  "formation_energy_ev_per_atom": 0.019,
  "relative_energy_mev_per_atom": 48,
  "lattice_angstrom": [[6.338, -0.013, 0.037], [5.299, 3.477, 0.037], [1.951, 0.581, 4.575]],
  "species": ["Cu", "Li", "La", "La"],
  "frac_coords": [[0.222, 0.222, 0.277], [0.555, 0.555, 0.446], [0.767, 0.767, 0.733], [0.956, 0.956, 0.044]]
}


{
  "formula": "Li3LaCu3",
  "functional": "PBE",
  "state": "optimized geometry",
  "formation_energy_ev_per_atom": 0.291,
  "lattice_angstrom": [[6.474, 0.000, 0.000], [0.000, 6.474, 0.000], [0.000, 0.000, 6.474]],
  "species": ["Li", "Li", "Li", "Li", "Li", "Li", "Cu", "Cu", "Cu", "Cu", "Cu", "Cu", "La", "La"],
  "frac_coords": [[0.500, 0.750, 0.000], [0.000, 0.500, 0.250], [0.750, 0.000, 0.500], [0.250, 0.000, 0.500], [0.000, 0.500, 0.750], [0.500, 0.250, 0.000], [0.500, 0.000, 0.750], [0.250, 0.500, 0.000], [0.750, 0.500, 0.000], [0.500, 0.000, 0.250], [0.000, 0.750, 0.500], [0.000, 0.250, 0.500], [0.000, 0.000, 0.000], [0.500, 0.500, 0.500]]
}


{
  "formula": "Li2La2Cu15",
  "functional": "PBE",
  "state": "optimized geometry",
  "formation_energy_ev_per_atom": -0.123,
  "lattice_angstrom": [[-2.670, 5.885, 1.232], [0.046, -0.432, 6.564], [5.624, 3.263, 1.001]],
  "species": ["Cu", "Cu", "Cu", "Cu", "Cu", "Cu", "Cu", "Cu", "Cu", "Cu", "Cu", "Cu", "Cu", "Cu", "Cu", "La", "La", "Li", "Li"],
  "frac_coords": [[0.000, 0.500, 0.000], [0.297, 0.703, 0.000], [0.659, 0.659, 0.156], [0.000, 0.703, 0.297], [0.341, 0.844, 0.341], [0.156, 0.659, 0.659], [0.703, 0.000, 0.297], [0.000, 0.297, 0.703], [0.844, 0.341, 0.341], [0.000, 0.000, 0.500], [0.659, 0.156, 0.659], [0.297, 0.000, 0.703], [0.703, 0.297, 0.000], [0.500, 0.000, 0.000], [0.341, 0.341, 0.844], [0.345, 0.345, 0.345], [0.655, 0.655, 0.655], [0.908, 0.908, 0.908], [0.092, 0.092, 0.092]]
}


{
  "formula": "LiLa2Cu",
  "functional": "PBE",
  "state": "optimized geometry",
  "formation_energy_ev_per_atom": 0.124,
  "relative_energy_mev_per_atom": 153,
  "lattice_angstrom": [[5.202, 0.012, -0.019], [3.958, 3.376, -0.019], [1.188, 0.439, 6.246]],
  "species": ["La", "La", "Li", "Cu"],
  "frac_coords": [[0.984, 0.984, 0.035], [0.516, 0.516, 0.465], [0.750, 0.750, 0.750], [0.250, 0.250, 0.250]]
}


{
  "formula": "LiLa3Cu3",
  "functional": "PBE",
  "state": "optimized geometry",
  "formation_energy_ev_per_atom": -0.108,
  "lattice_angstrom": [[4.442, 0.000, 0.000], [-2.221, 5.242, 0.000], [0.000, 0.000, 14.297]],
  "species": ["Li", "Li", "Cu", "Cu", "Cu", "Cu", "Cu", "Cu", "La", "La", "La", "La", "La", "La"],
  "frac_coords": [[0.500, 0.000, 0.500], [0.500, 0.000, 0.000], [0.769, 0.539, 0.750], [0.094, 0.187, 0.097], [0.906, 0.813, 0.903], [0.231, 0.461, 0.250], [0.094, 0.187, 0.403], [0.906, 0.813, 0.597], [0.526, 0.052, 0.250], [0.474, 0.948, 0.750], [0.804, 0.607, 0.397], [0.196, 0.393, 0.603], [0.196, 0.393, 0.897], [0.804, 0.607, 0.103]]
}


{
  "formula": "LiLa2Cu",
  "functional": "PBE",
  "state": "optimized geometry",
  "formation_energy_ev_per_atom": 0.008,
  "relative_energy_mev_per_atom": 36,
  "lattice_angstrom": [[8.296, 0.009, 0.019], [-3.259, 4.053, -0.006], [1.778, 1.427, 3.093]],
  "species": ["Cu", "La", "La", "Li"],
  "frac_coords": [[0.500, 0.500, 0.000], [0.000, 0.000, 0.000], [0.500, 0.000, 0.500], [0.000, 0.500, 0.500]]
}


{
  "formula": "Li2La3Cu4",
  "functional": "PBE",
  "state": "optimized geometry",
  "formation_energy_ev_per_atom": -0.098,
  "lattice_angstrom": [[4.232, 0.000, 1.250], [1.769, 5.394, 1.799], [-0.230, 0.299, 8.568]],
  "species": ["La", "La", "La", "Cu", "Cu", "Cu", "Cu", "Li", "Li"],
  "frac_coords": [[0.000, 0.000, 0.000], [0.640, 0.411, 0.310], [0.360, 0.589, 0.690], [0.273, 0.395, 0.060], [0.926, 0.738, 0.409], [0.074, 0.262, 0.591], [0.727, 0.605, 0.940], [0.333, 0.000, 0.334], [0.667, 0.000, 0.666]]
}


{
  "formula": "Li2La2Cu",
  "functional": "PBE",
  "state": "optimized geometry",
  "formation_energy_ev_per_atom": 0.073,
  "relative_energy_mev_per_atom": 0,
  "lattice_angstrom": [[-3.497, 0.110, 1.271], [-1.264, -0.811, -3.406], [-1.932, -9.567, 0.962]],
  "species": ["Li", "Li", "Cu", "La", "La"],
  "frac_coords": [[0.250, 0.750, 0.500], [0.750, 0.250, 0.500], [0.000, 0.000, 0.000], [0.588, 0.588, 0.824], [0.412, 0.412, 0.176]]
}


{
  "formula": "Li2LaCu2",
  "functional": "PBE",
  "state": "optimized geometry",
  "formation_energy_ev_per_atom": 0.025,
  "relative_energy_mev_per_atom": 136,
  "lattice_angstrom": [[-5.102, 4.659, 3.401], [2.260, -2.563, 6.901], [2.057, 2.159, 0.128]],
  "species": ["Cu", "Cu", "Cu", "Cu", "Li", "Li", "Li", "Li", "La", "La"],
  "frac_coords": [[0.179, 0.679, 0.500], [0.679, 0.821, 0.500], [0.821, 0.321, 0.500], [0.321, 0.179, 0.500], [0.886, 0.614, 0.000], [0.386, 0.886, 0.000], [0.614, 0.114, 0.000], [0.114, 0.386, 0.000], [0.000, 0.000, 0.000], [0.500, 0.500, 0.000]]
}


{
  "formula": "LiLaLuCu",
  "functional": "PBE",
  "state": "optimized geometry",
  "formation_energy_ev_per_atom": -0.004,
  "lattice_angstrom": [[-2.997, 3.092, -2.767], [-4.043, -1.911, -2.491], [-4.739, 1.079, 1.605]],
  "species": ["Cu", "Lu", "Li", "La"],
  "frac_coords": [[0.250, 0.250, 0.250], [0.000, 0.000, 0.000], [0.750, 0.750, 0.750], [0.500, 0.500, 0.500]]
}


{
  "formula": "LiLaMgCu",
  "functional": "PBE",
  "state": "optimized geometry",
  "formation_energy_ev_per_atom": -0.080,
  "lattice_angstrom": [[-4.236, 0.004, -2.611], [-0.322, -2.614, -4.222], [-2.816, -4.099, -0.180]],
  "species": ["Cu", "Mg", "La", "Li"],
  "frac_coords": [[0.250, 0.250, 0.250], [0.500, 0.500, 0.500], [0.000, 0.000, 0.000], [0.750, 0.750, 0.750]]
}


{
  "formula": "Li2LaMgCu",
  "functional": "PBE",
  "state": "optimized geometry",
  "formation_energy_ev_per_atom": 0.125,
  "lattice_angstrom": [[4.848, 0.000, 0.000], [0.000, 4.848, 0.000], [0.000, 0.000, 4.946]],
  "species": ["Cu", "Mg", "Li", "Li", "La"],
  "frac_coords": [[0.000, 0.000, 0.000], [0.000, 0.000, 0.500], [0.000, 0.500, 0.000], [0.500, 0.000, 0.000], [0.500, 0.500, 0.500]]
}


{
  "formula": "LiLa2Cu3Ni12",
  "functional": "PBE",
  "state": "optimized geometry",
  "formation_energy_ev_per_atom": 0.044,
  "lattice_angstrom": [[6.103, -1.276, -0.905], [1.905, 5.937, -0.905], [1.905, 1.109, 5.902]],
  "species": ["Ni", "Ni", "Ni", "Ni", "Ni", "Ni", "Ni", "Ni", "Ni", "Ni", "Ni", "Ni", "La", "La", "Li", "Cu", "Cu", "Cu"],
  "frac_coords": [[0.272, 0.805, 0.805], [0.591, 0.140, 0.591], [0.728, 0.195, 0.195], [0.195, 0.728, 0.195], [0.860, 0.409, 0.409], [0.409, 0.409, 0.860], [0.140, 0.591, 0.591], [0.805, 0.805, 0.272], [0.409, 0.860, 0.409], [0.805, 0.272, 0.805], [0.195, 0.195, 0.728], [0.591, 0.591, 0.140], [0.298, 0.298, 0.298], [0.702, 0.702, 0.702], [0.000, 0.000, 0.000], [0.000, 0.500, 0.000], [0.500, 0.000, 0.000], [0.000, 0.000, 0.500]]
}


{
  "formula": "LiLaCuNi",
  "functional": "PBE",
  "state": "optimized geometry",
  "formation_energy_ev_per_atom": -0.010,
  "lattice_angstrom": [[4.784, 0.000, 0.000], [2.392, 4.143, 0.000], [2.392, 1.381, 3.906]],
  "species": ["Cu", "La", "Li", "Ni"],
  "frac_coords": [[0.250, 0.250, 0.250], [0.000, 0.000, 0.000], [0.500, 0.500, 0.500], [0.750, 0.750, 0.750]]
}


{
  "formula": "Li3La2CuNi12",
  "functional": "PBE",
  "state": "optimized geometry",
  "formation_energy_ev_per_atom": 0.169,
  "lattice_angstrom": [[-1.379, -8.325, 3.942], [4.279, -6.750, 4.783], [0.014, -4.428, 8.194]],
  "species": ["Ni", "Ni", "Ni", "Ni", "Ni", "Ni", "Ni", "Ni", "Ni", "Ni", "Ni", "Ni", "La", "La", "Li", "Li", "Li", "Cu"],
  "frac_coords": [[0.933, 0.350, 0.933], [0.812, 0.419, 0.419], [0.067, 0.650, 0.067], [0.933, 0.933, 0.350], [0.350, 0.933, 0.933], [0.419, 0.419, 0.812], [0.581, 0.188, 0.581], [0.650, 0.067, 0.067], [0.067, 0.067, 0.650], [0.419, 0.812, 0.419], [0.188, 0.581, 0.581], [0.581, 0.581, 0.188], [0.348, 0.348, 0.348], [0.652, 0.652, 0.652], [0.000, 0.500, 0.000], [0.000, 0.000, 0.500], [0.500, 0.000, 0.000], [0.000, 0.000, 0.000]]
}


{
  "formula": "LiLaCuNi3",
  "functional": "PBE",
  "state": "optimized geometry",
  "formation_energy_ev_per_atom": -0.029,
  "lattice_angstrom": [[5.520, 0.000, 0.000], [0.000, 5.438, 0.000], [0.000, -2.719, 6.040]],
  "species": ["La", "La", "Ni", "Ni", "Ni", "Ni", "Ni", "Ni", "Cu", "Cu", "Li", "Li"],
  "frac_coords": [[0.750, 0.312, 0.625], [0.250, 0.688, 0.375], [0.500, 0.277, 0.000], [0.500, 0.723, 0.000], [0.750, 0.866, 0.732], [0.250, 0.134, 0.268], [0.000, 0.277, 0.000], [0.000, 0.723, 0.000], [0.250, 0.354, 0.708], [0.750, 0.646, 0.292], [0.250, 0.910, 0.821], [0.750, 0.090, 0.179]]
}


{
  "formula": "LiLa8Cu3O16",
  "functional": "PBE",
  "state": "optimized geometry",
  "relative_energy_mev_per_atom": 0,
  "lattice_angstrom": [[-4.550, 4.704, 2.237], [-0.102, -6.059, 5.297], [7.281, 5.287, 0.074]],
  "species": ["O", "O", "O", "O", "O", "O", "O", "O", "O", "O", "O", "O", "O", "O", "O", "O", "La", "La", "La", "La", "La", "La", "La", "La", "Cu", "Cu", "Cu", "Li"],
  "frac_coords": [[0.499, 0.939, 0.124], [0.500, 0.564, 0.873], [0.499, 0.439, 0.124], [0.000, 0.879, 0.753], [0.499, 0.314, 0.375], [0.999, 0.120, 0.235], [0.498, 0.815, 0.374], [0.000, 0.752, 0.999], [0.500, 0.190, 0.623], [0.999, 0.987, 0.499], [0.000, 0.252, 0.999], [0.501, 0.689, 0.624], [0.500, 0.064, 0.874], [0.000, 0.517, 0.499], [0.999, 0.624, 0.244], [0.000, 0.384, 0.763], [0.703, 0.515, 0.674], [0.299, 0.738, 0.823], [0.296, 0.989, 0.324], [0.701, 0.015, 0.674], [0.701, 0.265, 0.175], [0.700, 0.765, 0.175], [0.298, 0.488, 0.324], [0.298, 0.239, 0.823], [0.000, 0.752, 0.499], [0.000, 0.502, 0.999], [0.999, 0.002, 0.998], [0.000, 0.252, 0.499]]
}


{
  "formula": "LiLa8Cu3O16",
  "functional": "PBE",
  "state": "optimized geometry",
  "relative_energy_mev_per_atom": 32,
  "lattice_angstrom": [[7.055, -0.016, 0.011], [-2.043, 7.388, -0.105], [-1.990, -0.687, 7.372]],
  "species": ["Cu", "Cu", "Cu", "O", "O", "O", "O", "O", "O", "O", "O", "O", "O", "O", "O", "O", "O", "O", "O", "La", "La", "La", "La", "La", "La", "La", "La", "Li"],
  "frac_coords": [[0.000, 0.000, 0.000], [0.000, 0.500, 0.000], [0.000, 0.500, 0.500], [0.639, 0.382, 0.935], [0.623, 0.936, 0.872], [0.980, 0.495, 0.742], [0.637, 0.886, 0.435], [0.022, 0.005, 0.762], [0.363, 0.114, 0.565], [0.023, 0.253, 0.005], [0.623, 0.438, 0.375], [0.377, 0.562, 0.625], [0.977, 0.747, 0.995], [0.020, 0.505, 0.258], [0.361, 0.618, 0.065], [0.980, 0.251, 0.495], [0.020, 0.749, 0.505], [0.377, 0.064, 0.128], [0.978, 0.995, 0.238], [0.281, 0.323, 0.810], [0.725, 0.186, 0.178], [0.275, 0.310, 0.328], [0.725, 0.690, 0.672], [0.722, 0.171, 0.684], [0.278, 0.829, 0.316], [0.719, 0.677, 0.190], [0.275, 0.814, 0.822], [0.000, 0.000, 0.500]]
}


| no. | spin magnetization (μB/atom) |
| --- | --- |
| 1 | 0.000 |
| 2 | 0.000 |
| 3 | 0.000 |
| 4 | 0.000 |
| 5 | 0.000 |
| 6 | 0.000 |
| 7 | 0.000 |
| 8 | 0.000 |
| 9 | 0.001 |
| 10 | 0.000 |
| 11 | 0.096 |
| 12 | 0.000 |
| 13 | 0.003 |
| 14 | 0.000 |
| 15 | 0.159 |
| 16 | 0.000 |
| 17 | 0.000 |
| 18 | 0.000 |
| 19 | 0.000 |
| 20 | 0.000 |
| 21 | 0.000 |